# LiO

A relaxed structure of LiO (PBE, the Alexandria database).

a b c (Å): 5.4746 5.4746 5.4746
angles (deg): 90.00 90.00 90.00
Each line ends with the local moment (μB).
Atoms (fractional coordinates):
1 Li 0.2500 0.0000 0.5000  0.01
2 Li 0.7500 0.0000 0.5000  0.01
3 Li 0.0000 0.5000 0.2500  0.01
4 Li 0.0000 0.5000 0.7500  0.01
5 Li 0.5000 0.2500 0.0000  0.01
6 Li 0.5000 0.7500 0.0000  0.01
7 O 0.2500 0.5000 0.0000  0.81
8 O 0.7500 0.5000 0.0000  0.81
9 O 0.5000 0.0000 0.2500  0.81
10 O 0.5000 0.0000 0.7500  0.81
11 O 0.0000 0.2500 0.5000  0.81
12 O 0.0000 0.7500 0.5000  0.81

Results
Uncorrected formation energy, kJ/mol of atoms: -83.0
Symmetry: Pm-3n (223)
Calculated total energy, eV per atom: -4.30
Density of states at the Fermi level, states/eV per atom: 0.99